# CaTlSi2, relaxed, DFT PBE
# energy relative to the lowest polymorph listed for this composition	0.1918	eV/atom
# formation energy (no corrections)	8.6	kJ/mol of atoms
data_CaTlSi2
_chemical_formula_sum 'Ca1 Tl1 Si2'
_space_group_name_H-M_alt 'P m m m'
_space_group_IT_number 47
_space_group_name_Hall '-P 2 2'
_cell_length_a 4.279
_cell_length_b 4.430
_cell_length_c 4.592
_cell_angle_alpha 90.00
_cell_angle_beta 90.00
_cell_angle_gamma 90.00
loop_
_atom_site_label
_atom_site_type_symbol
_atom_site_fract_x
_atom_site_fract_y
_atom_site_fract_z
_atom_site_occupancy
Ca1 Ca 0.000 0.000 0.000 1
Tl1 Tl 0.000 0.500 0.500 1
Si1 Si 0.500 0.000 0.500 1
Si2 Si 0.500 0.500 0.000 1

=====

# LaMnRh2, relaxed, DFT PBE
# formation enthalpy at 0 K	-1.23	eV per formula unit
data_LaMnRh2
_chemical_formula_sum 'La4 Mn4 Rh8'
_space_group_name_H-M_alt 'F m -3 m'
_space_group_IT_number 225
_space_group_name_Hall '-F 4 2 3'
_cell_length_a 6.675
_cell_length_b 6.675
_cell_length_c 6.675
_cell_angle_alpha 90.00
_cell_angle_beta 90.00
_cell_angle_gamma 90.00
loop_
_atom_site_label
_atom_site_type_symbol
_atom_site_fract_x
_atom_site_fract_y
_atom_site_fract_z
_atom_site_occupancy
La1 La 0.000 0.000 0.000 1
Mn1 Mn 0.000 0.000 0.500 1
Rh1 Rh 0.250 0.250 0.250 1

=====

# Cd3H4Ir2, relaxed, DFT PBE
# energy	-3.7365	eV/atom
data_Cd3H4Ir2
_chemical_formula_sum 'Cd6 H8 Ir4'
_space_group_name_H-M_alt 'C 1 2/m 1'
_space_group_IT_number 12
_space_group_name_Hall '-C 2y'
_cell_length_a 10.195
_cell_length_b 3.045
_cell_length_c 7.924
_cell_angle_alpha 90.00
_cell_angle_beta 102.01
_cell_angle_gamma 90.00
loop_
_atom_site_label
_atom_site_type_symbol
_atom_site_fract_x
_atom_site_fract_y
_atom_site_fract_z
_atom_site_occupancy
Cd1 Cd 0.000 0.000 0.000 1
Cd2 Cd 0.137 0.500 0.650 1
H1 H 0.067 0.000 0.354 1
H2 H 0.219 0.500 0.140 1
Ir1 Ir 0.124 0.500 0.283 1

=====

# GaSnC2, relaxed, DFT PBE
# energy relative to the lowest polymorph listed for this composition	1.1416	eV/atom
# formation enthalpy at 0 K	8.14	eV per formula unit
data_GaSnC2
_chemical_formula_sum 'Ga4 Sn4 C8'
_space_group_name_H-M_alt 'F m -3 m'
_space_group_IT_number 225
_space_group_name_Hall '-F 4 2 3'
_cell_length_a 5.944
_cell_length_b 5.944
_cell_length_c 5.944
_cell_angle_alpha 90.00
_cell_angle_beta 90.00
_cell_angle_gamma 90.00
loop_
_atom_site_label
_atom_site_type_symbol
_atom_site_fract_x
_atom_site_fract_y
_atom_site_fract_z
_atom_site_occupancy
Ga1 Ga 0.000 0.000 0.000 1
Sn1 Sn 0.000 0.000 0.500 1
C1 C 0.250 0.250 0.250 1

=====

# HoTlSe2O8, relaxed, DFT PBE
# formation energy (no corrections)	-133.5	kJ/mol of atoms
data_HoTlSe2O8
_chemical_formula_sum 'Ho2 Tl2 Se4 O16'
_space_group_name_H-M_alt 'C 1 2/m 1'
_space_group_IT_number 12
_space_group_name_Hall '-C 2y'
_cell_length_a 9.246
_cell_length_b 5.792
_cell_length_c 8.559
_cell_angle_alpha 90.00
_cell_angle_beta 92.04
_cell_angle_gamma 90.00
loop_
_atom_site_label
_atom_site_type_symbol
_atom_site_fract_x
_atom_site_fract_y
_atom_site_fract_z
_atom_site_occupancy
Ho1 Ho 0.000 0.000 0.000 1
Tl1 Tl 0.000 0.000 0.500 1
Se1 Se 0.139 0.500 0.783 1
O1 O 0.035 0.265 0.811 1
O2 O 0.198 0.500 0.604 1
O3 O 0.231 0.000 0.077 1

=====

# La6H2SN3, relaxed, DFT PBE
# energy	-6.6409	eV/atom
data_La6H2SN3
_chemical_formula_sum 'La12 H4 S2 N6'
_space_group_name_H-M_alt 'C 1 2/m 1'
_space_group_IT_number 12
_space_group_name_Hall '-C 2y'
_cell_length_a 16.924
_cell_length_b 3.782
_cell_length_c 7.830
_cell_angle_alpha 90.00
_cell_angle_beta 106.39
_cell_angle_gamma 90.00
loop_
_atom_site_label
_atom_site_type_symbol
_atom_site_fract_x
_atom_site_fract_y
_atom_site_fract_z
_atom_site_occupancy
La1 La 0.008 0.000 0.228 1
La2 La 0.161 0.500 0.100 1
La3 La 0.176 0.500 0.566 1
H1 H 0.171 0.000 0.836 1
S1 S 0.000 0.500 0.500 1
N1 N 0.000 0.500 0.000 1
N2 N 0.165 0.000 0.325 1

=====

# Tm2Ga12Pd, relaxed, DFT PBE
# formation enthalpy at 0 K	-5.17	eV per formula unit
data_Tm2Ga12Pd
_chemical_formula_sum 'Tm4 Ga24 Pd2'
_space_group_name_H-M_alt 'P 4/n b m'
_space_group_IT_number 125
_cell_length_a 6.114
_cell_length_b 6.114
_cell_length_c 15.265
_cell_angle_alpha 90.00
_cell_angle_beta 90.00
_cell_angle_gamma 90.00
loop_
_space_group_symop_operation_xyz
'x,y,z'
'-x,-y,-z'
'-y+1/2,x,z'
'y+1/2,-x,-z'
'-x+1/2,-y+1/2,z'
'x+1/2,y+1/2,-z'
'y,-x+1/2,z'
'-y,x+1/2,-z'
'x,-y+1/2,-z'
'-x,y+1/2,z'
'-y+1/2,-x+1/2,-z'
'y+1/2,x+1/2,z'
'-x+1/2,y,-z'
'x+1/2,-y,z'
'y,x,-z'
'-y,-x,z'
loop_
_atom_site_label
_atom_site_type_symbol
_atom_site_fract_x
_atom_site_fract_y
_atom_site_fract_z
_atom_site_occupancy
Tm1 Tm 0.250 0.750 0.241 1
Ga1 Ga 0.000 0.000 0.092 1
Ga2 Ga 0.086 0.586 0.431 1
Ga3 Ga 0.250 0.250 0.190 1
Ga4 Ga 0.250 0.250 0.349 1
Pd1 Pd 0.250 0.750 0.000 1

=====

# RbCo, relaxed, DFT PBE
# energy relative to the lowest polymorph listed for this composition	0.5229	eV/atom
# formation enthalpy at 0 K	2.40	eV per formula unit
data_RbCo
_chemical_formula_sum 'Rb4 Co4'
_space_group_name_H-M_alt 'P 42/m n m'
_space_group_IT_number 136
_space_group_name_Hall '-P 4n 2n'
_cell_length_a 7.196
_cell_length_b 7.196
_cell_length_c 6.854
_cell_angle_alpha 90.00
_cell_angle_beta 90.00
_cell_angle_gamma 90.00
loop_
_atom_site_label
_atom_site_type_symbol
_atom_site_fract_x
_atom_site_fract_y
_atom_site_fract_z
_atom_site_occupancy
Rb1 Rb 0.183 0.183 0.000 1
Co1 Co 0.102 0.102 0.500 1

=====

Number 1: M_tot 0.00 μB/f.u.. Number 2: M_tot 4.53 μB/f.u.. Number 3: M_tot 0.00 μB/f.u.. Number 4: M_tot 0.00 μB/f.u.. Number 5: M_tot 0.00 μB/f.u.. Number 6: M_tot 0.00 μB/f.u.. Number 7: M_tot 0.00 μB/f.u.. Number 8: M_tot 2.03 μB/f.u..